An optimized crystal structure of CuSiGeI2. Source: Alexandria via LeMat-Bulk, functional PBE.

Geometry as CIF:
```
data_CuSiGeI2
_symmetry_space_group_name_H-M 'P 4/m m m'
_symmetry_Int_Tables_number 123
_symmetry_space_group_name_Hall '-P 4 2'
_cell_length_a 5.4894
_cell_length_b 5.4894
_cell_length_c 4.5684
_cell_angle_alpha 90.00
_cell_angle_beta 90.00
_cell_angle_gamma 90.00
loop_
_atom_site_label
_atom_site_type_symbol
_atom_site_fract_x
_atom_site_fract_y
_atom_site_fract_z
_atom_site_occupancy
Cu1 Cu 0.0000 0.0000 0.0000 1
Si1 Si 0.5000 0.5000 0.5000 1
Ge1 Ge 0.0000 0.0000 0.5000 1
I1 I 0.0000 0.5000 0.0000 1
```

For the energy above the most stable polymorph in this dataset, the calculation gives 0.0 meV/atom. The calculated volume is 137.66 Å³/cell. As for the calculated total energy: -2.72 eV per atom. The density of states at the Fermi level comes out at 4.41 states/eV/f.u. The calculation puts the formation energy (no corrections) at 730 meV per atom. The crystal system is tetragonal.


An optimized crystal structure of CdOsPb2. Source: Alexandria via LeMat-Bulk, functional PBE.

Geometry as CIF:
```
data_CdOsPb2
_symmetry_space_group_name_H-M 'R 3 m'
_symmetry_Int_Tables_number 160
_symmetry_space_group_name_Hall 'R 3 -2"'
_cell_length_a 3.2314
_cell_length_b 3.2314
_cell_length_c 32.0490
_cell_angle_alpha 90.00
_cell_angle_beta 90.00
_cell_angle_gamma 120.00
loop_
_atom_site_label
_atom_site_type_symbol
_atom_site_fract_x
_atom_site_fract_y
_atom_site_fract_z
_atom_site_occupancy
Cd1 Cd 0.0000 0.0000 0.0000 1
Os1 Os 0.0000 0.0000 0.7341 1
Pb1 Pb 0.0000 0.0000 0.2458 1
Pb2 Pb 0.0000 0.0000 0.4675 1
```

The calculated volume is 289.82 Å³/cell. As for the formation energy from the elements: 2.3 eV/f.u. As for the calculated total energy: -4.32 eV per atom. The density of states at the Fermi level comes out at 2.08 states/eV/f.u. The crystal system is trigonal.


An optimized crystal structure of BaBeHg2. Source: Alexandria via LeMat-Bulk, functional PBE.

Geometry as CIF:
```
data_BaBeHg2
_symmetry_space_group_name_H-M 'C 1 2/m 1'
_symmetry_Int_Tables_number 12
_cell_length_a 6.5327
_cell_length_b 11.3587
_cell_length_c 3.9860
_cell_angle_alpha 90.00
_cell_angle_beta 123.92
_cell_angle_gamma 90.00
loop_
_symmetry_equiv_pos_as_xyz
'x,y,z'
'-x,-y,-z'
'-x,y,-z'
'x,-y,z'
'x+1/2,y+1/2,z'
'-x+1/2,-y+1/2,-z'
'-x+1/2,y+1/2,-z'
'x+1/2,-y+1/2,z'
loop_
_atom_site_label
_atom_site_type_symbol
_atom_site_fract_x
_atom_site_fract_y
_atom_site_fract_z
_atom_site_occupancy
Ba1 Ba 0.0000 0.0000 0.0000 1
Be1 Be 0.0000 0.5000 0.0000 1
Hg1 Hg 0.2500 0.2500 0.5000 1
```

The calculated volume is 245.43 Å³/cell. As for the formation energy from the elements: 1.5 eV/f.u. As for the calculated total energy: -1.18 eV per atom. The density of states at the Fermi level comes out at 3.67 states/eV/f.u. The crystal system is monoclinic.


An optimized crystal structure of Sc2OsBr. Source: Alexandria via LeMat-Bulk, functional PBE.

Geometry as CIF:
```
data_Sc2OsBr
_symmetry_space_group_name_H-M 'P m m m'
_symmetry_Int_Tables_number 47
_cell_length_a 3.2480
_cell_length_b 3.3147
_cell_length_c 7.8175
_cell_angle_alpha 90.00
_cell_angle_beta 90.00
_cell_angle_gamma 90.00
loop_
_symmetry_equiv_pos_as_xyz
'x,y,z'
'-x,-y,-z'
'-x,-y,z'
'x,y,-z'
'x,-y,-z'
'-x,y,z'
'-x,y,-z'
'x,-y,z'
loop_
_atom_site_label
_atom_site_type_symbol
_atom_site_fract_x
_atom_site_fract_y
_atom_site_fract_z
_atom_site_occupancy
Sc1 Sc 0.0000 0.0000 0.1977 1
Os1 Os 0.5000 0.5000 0.0000 1
Br1 Br 0.5000 0.0000 0.5000 1
```

For the energy above the most stable polymorph in this dataset, the calculation gives 0.0 meV/atom. The calculated volume is 84.17 Å³/cell. As for the calculated total energy: -7.14 eV per atom. The density of states at the Fermi level comes out at 2.27 states/eV/f.u. The calculation puts the formation energy (no corrections) at -750 meV per atom. The crystal system is orthorhombic.


An optimized crystal structure of AcScGa2Cu2. Source: Alexandria via LeMat-Bulk, functional PBE.

Geometry as CIF:
```
data_AcScGa2Cu2
_symmetry_space_group_name_H-M 'P -3 m 1'
_symmetry_Int_Tables_number 164
_symmetry_space_group_name_Hall '-P 3 2"'
_cell_length_a 4.3672
_cell_length_b 4.3672
_cell_length_c 7.4512
_cell_angle_alpha 90.00
_cell_angle_beta 90.00
_cell_angle_gamma 120.00
loop_
_atom_site_label
_atom_site_type_symbol
_atom_site_fract_x
_atom_site_fract_y
_atom_site_fract_z
_atom_site_occupancy
Ac1 Ac 0.0000 0.0000 0.0000 1
Sc1 Sc 0.0000 0.0000 0.5000 1
Ga1 Ga 0.3333 0.6667 0.3064 1
Cu1 Cu 0.3333 0.6667 0.6811 1
```

The calculated volume is 123.08 Å³/cell. As for the formation energy from the elements: -2.9 eV/f.u. As for the calculated total energy: -4.59 eV per atom. The density of states at the Fermi level comes out at 4.15 states/eV/f.u. The crystal system is trigonal.


An optimized crystal structure of Be3Tl. Source: Alexandria via LeMat-Bulk, functional PBE.

Geometry as CIF:
```
data_Be3Tl
_symmetry_space_group_name_H-M 'I m m 2'
_symmetry_Int_Tables_number 44
_cell_length_a 3.1803
_cell_length_b 7.8775
_cell_length_c 4.3564
_cell_angle_alpha 90.00
_cell_angle_beta 90.00
_cell_angle_gamma 90.00
loop_
_symmetry_equiv_pos_as_xyz
'x,y,z'
'-x,-y,z'
'-x,y,z'
'x,-y,z'
'x+1/2,y+1/2,z+1/2'
'-x+1/2,-y+1/2,z+1/2'
'-x+1/2,y+1/2,z+1/2'
'x+1/2,-y+1/2,z+1/2'
loop_
_atom_site_label
_atom_site_type_symbol
_atom_site_fract_x
_atom_site_fract_y
_atom_site_fract_z
_atom_site_occupancy
Be1 Be 0.0000 0.0000 0.0000 1
Be2 Be 0.0000 0.2571 0.6618 1
Tl1 Tl 0.0000 0.5000 0.0237 1
```

For the energy above the most stable polymorph in this dataset, the calculation gives 465.0 meV/atom. The calculated volume is 109.14 Å³/cell. As for the formation energy from the elements: 3.3 eV/f.u. As for the calculated total energy: -2.57 eV per atom. The density of states at the Fermi level comes out at 1.09 states/eV/f.u. The crystal system is orthorhombic.


An optimized crystal structure of Mn2BeHg. Source: Alexandria via LeMat-Bulk, functional PBE.

Geometry as CIF:
```
data_Mn2BeHg
_symmetry_space_group_name_H-M 'C m m m'
_symmetry_Int_Tables_number 65
_symmetry_space_group_name_Hall '-C 2 2'
_cell_length_a 5.3852
_cell_length_b 7.4924
_cell_length_c 2.8937
_cell_angle_alpha 90.00
_cell_angle_beta 90.00
_cell_angle_gamma 90.00
loop_
_atom_site_label
_atom_site_type_symbol
_atom_site_fract_x
_atom_site_fract_y
_atom_site_fract_z
_atom_site_occupancy
Mn1 Mn 0.2500 0.2500 0.0000 1
Be1 Be 0.0000 0.0000 0.5000 1
Hg1 Hg 0.0000 0.5000 0.5000 1
```

For the energy above the most stable polymorph in this dataset, the calculation gives 189.1 meV/atom. The calculated volume is 116.76 Å³/cell. As for the formation energy from the elements: 1.7 eV/f.u. As for the calculated total energy: -5.17 eV per atom. The density of states at the Fermi level comes out at 2.96 states/eV/f.u. The crystal system is orthorhombic.


An optimized crystal structure of Y4RePb. Source: Alexandria via LeMat-Bulk, functional PBE.

Geometry as CIF:
```
data_Y4RePb
_symmetry_space_group_name_H-M 'F -4 3 m'
_symmetry_Int_Tables_number 216
_symmetry_space_group_name_Hall 'F -4 2 3'
_cell_length_a 8.5694
_cell_length_b 8.5694
_cell_length_c 8.5694
_cell_angle_alpha 90.00
_cell_angle_beta 90.00
_cell_angle_gamma 90.00
loop_
_atom_site_label
_atom_site_type_symbol
_atom_site_fract_x
_atom_site_fract_y
_atom_site_fract_z
_atom_site_occupancy
Y1 Y 0.1230 0.1230 0.3770 1
Re1 Re 0.2500 0.2500 0.7500 1
Pb1 Pb 0.0000 0.0000 0.0000 1
```

The calculated volume is 629.29 Å³/cell. As for the formation energy from the elements: 4.7 eV/f.u. As for the calculated total energy: -6.22 eV per atom. The density of states at the Fermi level comes out at 8.69 states/eV/f.u. The crystal system is cubic.


An optimized crystal structure of YAs2RuSe. Source: Alexandria via LeMat-Bulk, functional PBE.

Geometry as CIF:
```
data_YAs2RuSe
_symmetry_space_group_name_H-M 'P 4/m m m'
_symmetry_Int_Tables_number 123
_symmetry_space_group_name_Hall '-P 4 2'
_cell_length_a 4.6566
_cell_length_b 4.6566
_cell_length_c 5.3714
_cell_angle_alpha 90.00
_cell_angle_beta 90.00
_cell_angle_gamma 90.00
loop_
_atom_site_label
_atom_site_type_symbol
_atom_site_fract_x
_atom_site_fract_y
_atom_site_fract_z
_atom_site_occupancy
Y1 Y 0.0000 0.0000 0.0000 1
As1 As 0.0000 0.5000 0.5000 1
Ru1 Ru 0.5000 0.5000 0.5000 1
Se1 Se 0.5000 0.5000 0.0000 1
```

For the energy above the most stable polymorph in this dataset, the calculation gives 0.0 meV/atom. The calculated volume is 116.47 Å³/cell. As for the calculated total energy: -5.89 eV per atom. The density of states at the Fermi level comes out at 3.73 states/eV/f.u. The calculation puts the formation energy (no corrections) at -187 meV per atom. The crystal system is tetragonal.


An optimized crystal structure of CrGaTeI2. Source: Alexandria via LeMat-Bulk, functional PBE.

Geometry as CIF:
```
data_CrGaTeI2
_symmetry_space_group_name_H-M 'P 4/m m m'
_symmetry_Int_Tables_number 123
_symmetry_space_group_name_Hall '-P 4 2'
_cell_length_a 5.6802
_cell_length_b 5.6802
_cell_length_c 5.2439
_cell_angle_alpha 90.00
_cell_angle_beta 90.00
_cell_angle_gamma 90.00
loop_
_atom_site_label
_atom_site_type_symbol
_atom_site_fract_x
_atom_site_fract_y
_atom_site_fract_z
_atom_site_occupancy
Cr1 Cr 0.0000 0.0000 0.0000 1
Ga1 Ga 0.5000 0.5000 0.5000 1
Te1 Te 0.0000 0.0000 0.5000 1
I1 I 0.0000 0.5000 0.0000 1
```

For the energy above the most stable polymorph in this dataset, the calculation gives 0.0 meV/atom. The calculated volume is 169.19 Å³/cell. As for the calculated total energy: -3.77 eV per atom. The density of states at the Fermi level comes out at 2.71 states/eV/f.u. The calculation puts the formation energy (no corrections) at 10 meV per atom. The crystal system is tetragonal.


An optimized crystal structure of Sm12Tl5Bi2. Source: Alexandria via LeMat-Bulk, functional PBE.

Geometry as CIF:
```
data_Sm12Tl5Bi2
_symmetry_space_group_name_H-M 'C 1 2/m 1'
_symmetry_Int_Tables_number 12
_cell_length_a 17.4547
_cell_length_b 8.5241
_cell_length_c 8.8073
_cell_angle_alpha 90.00
_cell_angle_beta 106.59
_cell_angle_gamma 90.00
loop_
_symmetry_equiv_pos_as_xyz
'x,y,z'
'-x,-y,-z'
'-x,y,-z'
'x,-y,z'
'x+1/2,y+1/2,z'
'-x+1/2,-y+1/2,-z'
'-x+1/2,y+1/2,-z'
'x+1/2,-y+1/2,z'
loop_
_atom_site_label
_atom_site_type_symbol
_atom_site_fract_x
_atom_site_fract_y
_atom_site_fract_z
_atom_site_occupancy
Sm1 Sm 0.0199 0.0000 0.2895 1
Sm2 Sm 0.1123 0.5000 0.3410 1
Sm3 Sm 0.1184 0.2074 0.0400 1
Sm4 Sm 0.1847 0.2231 0.6851 1
Tl1 Tl 0.0000 0.5000 0.0000 1
Tl2 Tl 0.2066 0.0000 0.3931 1
Tl3 Tl 0.2188 0.5000 0.9933 1
Bi1 Bi 0.0000 0.2881 0.5000 1
```

The calculated volume is 1255.84 Å³/cell. As for the formation energy from the elements: -4.3 eV/f.u. As for the calculated total energy: -4.24 eV per atom. The density of states at the Fermi level comes out at 21.41 states/eV/f.u. The crystal system is monoclinic.


An optimized crystal structure of Na4Dy3GaO8. Source: Alexandria via LeMat-Bulk, functional PBE.

Geometry as CIF:
```
data_Na4Dy3GaO8
_symmetry_space_group_name_H-M 'R -3 m'
_symmetry_Int_Tables_number 166
_symmetry_space_group_name_Hall '-R 3 2"'
_cell_length_a 6.6697
_cell_length_b 6.6697
_cell_length_c 16.7005
_cell_angle_alpha 90.00
_cell_angle_beta 90.00
_cell_angle_gamma 120.00
loop_
_atom_site_label
_atom_site_type_symbol
_atom_site_fract_x
_atom_site_fract_y
_atom_site_fract_z
_atom_site_occupancy
Na1 Na 0.0000 0.0000 0.0000 1
Na2 Na 0.0000 0.5000 0.0000 1
Dy1 Dy 0.0000 0.5000 0.5000 1
Ga1 Ga 0.0000 0.0000 0.5000 1
O1 O 0.0000 0.0000 0.2373 1
O2 O 0.0190 0.5095 0.2362 1
```

The calculated volume is 643.37 Å³/cell. As for the calculated total energy: -6.35 eV per atom. The density of states at the Fermi level comes out at 0.00 states/eV/f.u. The calculation puts the formation energy (no corrections) at -2485 meV per atom. The crystal system is trigonal.